# GGA-PBEsol CaS2NCl, optimized geometry
data_CaS2NCl
_chemical_formula_sum 'Ca1 S2 N1 Cl1'
_space_group_name_H-M_alt 'P 4/m m m'
_space_group_IT_number 123
_space_group_name_Hall '-P 4 2'
_cell_length_a 3.901
_cell_length_b 3.901
_cell_length_c 5.711
_cell_angle_alpha 90.00
_cell_angle_beta 90.00
_cell_angle_gamma 90.00
loop_
_atom_site_label
_atom_site_fract_x
_atom_site_fract_y
_atom_site_fract_z
Ca1 0.000 0.000 0.000
S1 0.000 0.500 0.500
N1 0.500 0.500 0.500
Cl1 0.500 0.500 0.000
# volume: 17.38 Å³/atom
# DOS(E_F): 2.368 states/eV/cell
# formation energy without anion corrections: -22.6 kJ/mol of atoms
# energy above the lowest structure with this stoichiometry: 0.000 eV per atom